Crystalline TiCuTcW at its relaxed geometry. Source: the Alexandria database, functional PBE-GGA.

a = 6.1887 Å, b = 6.1887 Å, c = 6.1887 Å
α = 90.00°, β = 90.00°, γ = 90.00°
With the nearest neighbours (Å) after each atom.
Space group F-43m (No. 216)
Unique sites:
Ti  0.0000  0.0000  0.0000 x4  4 Tc 2.68, 4 Cu 2.68
Cu  0.2500  0.2500  0.7500 x4  4 W 2.68, 4 Ti 2.68
Tc  0.2500  0.2500  0.2500 x4  4 W 2.68, 4 Ti 2.68
W  0.0000  0.0000  0.5000 x4  4 Tc 2.68, 4 Cu 2.68

- Crystal system: cubic

Crystalline DyZnGe2Ir at its relaxed geometry. Source: the Alexandria database, functional PBE-GGA.

a = 4.0527 Å, b = 4.0527 Å, c = 10.9106 Å
α = 90.00°, β = 90.00°, γ = 90.00°
With the nearest neighbours (Å) after each atom.
Space group I-4m2 (No. 119)
Unique sites:
Dy  0.0000  0.0000  0.0000 x2  8 Ge 3.12, 4 Ir 3.40, 4 Zn 3.40
Zn  0.0000  0.5000  0.2500 x2  4 Ge 2.52
Ge  0.0000  0.0000  0.3869 x4  1 Ge 2.47, 2 Ir 2.52, 2 Zn 2.52
Ir  0.0000  0.5000  0.7500 x2  4 Ge 2.52

- Crystal system: tetragonal

Calculated Fermi-level density of states (states/eV/f.u.), listed in the same order as above: 1.96, 1.81
Calculated energy of formation (eV per atom), listed in the same order as above: -0.02, -0.54